Density functional theory data (PBE) for an optimized crystal structure of Pm2HoBi3.

Lattice parameters (Å, degrees): 4.541 6.421 13.618 90.00 90.00 90.00
Atoms (fractional coordinates):
Pm 0.000 0.000 0.168
Pm 0.000 0.000 0.832
Pm 0.500 0.500 0.332
Pm 0.500 0.500 0.668
Ho 0.000 0.000 0.500
Ho 0.500 0.500 0.000
Bi 0.000 0.500 0.162
Bi 0.000 0.500 0.500
Bi 0.000 0.500 0.838
Bi 0.500 0.000 0.000
Bi 0.500 0.000 0.338
Bi 0.500 0.000 0.662

Results
For the formation energy, the calculation gives -0.90 eV/atom. The space-group type is Immm, No. 71. For the energy above the most stable polymorph in this dataset, the calculation gives 2 meV/atom. The total magnetic moment is 0.00 μB per cell.